Entry 1:
AlSi3S PBE relaxed; energy relative to the elements, uncorrected = 491 kJ/mol of formula units; polymorph energy (0 for the lowest one) = 3.90 kcal/mol of atoms; crystal system = cubic; SG = Pm-3m, No. 221; size of the total moment = 0.00 Bohr magnetons per cell; raw total energy = -3.81 eV/atom
1.0
-0.6661 4.6584 0.7146
-3.4268 -0.9742 3.1564
3.2355 -0.0728 3.4902
S Al Si
1 1 3
direct
0.5000 0.5000 0.5000
0.0000 0.0000 0.0000
0.0000 0.5000 0.0000
0.5000 0.0000 0.0000
0.0000 0.0000 0.5000


Entry 2:
CuGeAs2 PBE relaxed; polymorph energy (0 for the lowest one) = 7.70 kcal/mol of atoms; crystal system = trigonal; SG = R-3m, No. 166; energy of formation from the pure elements = 0.333 eV/atom; size of the total moment = 0.00 Bohr magnetons per cell; raw total energy = -4.17 eV/atom
1.0
3.6778 0.0000 0.0000
1.8389 3.1850 0.0000
1.8389 1.0617 7.5723
As Cu Ge
2 1 1
direct
0.8992 0.8992 0.3025
0.1008 0.1008 0.6975
0.0000 0.0000 0.0000
0.5000 0.5000 0.5000


Entry 3:
HAuSe PBE relaxed; polymorph energy (0 for the lowest one) = 0.00 kcal/mol of atoms; crystal system = triclinic; SG = P1, No. 1; size of the total moment = 0.00 Bohr magnetons per cell; raw total energy = -3.44 eV/atom
1.0
3.7269 0.0000 0.0000
-0.0109 6.3588 0.0000
-1.7996 -2.5627 5.7933
Se H Au
2 2 2
direct
0.5097 0.1882 0.0341
0.2963 0.3582 0.5907
0.8604 0.7760 0.2541
0.9642 0.7714 0.3679
0.9030 0.2730 0.8123
0.4030 0.7732 0.8124


Entry 4:
Ca2SiIr PBE relaxed; energy relative to the elements, uncorrected = -69 kJ/mol of formula units; crystal system = monoclinic; SG = P2/m, No. 10; size of the total moment = 0.00 Bohr magnetons per cell; raw total energy = -4.75 eV/atom
1.0
-2.6920 1.7274 2.1790
-2.1978 -0.2347 -2.5293
-4.0909 -5.9526 -0.3351
Ir Ca Si
1 2 1
direct
0.5000 0.2500 0.2500
0.0000 0.9922 0.0081
0.0000 0.5078 0.4919
0.5000 0.7500 0.7500


Entry 5:
HoLuIn2 PBE relaxed; crystal system = trigonal; SG = R-3m, No. 166; energy of formation from the pure elements = -0.310 eV/atom; size of the total moment = 0.00 Bohr magnetons per cell; raw total energy = -3.95 eV/atom
1.0
3.6342 0.0000 0.0000
1.8171 3.1473 0.0000
1.8171 1.0491 9.6611
In Lu Ho
2 1 1
direct
0.2509 0.2509 0.2472
0.7491 0.7491 0.7528
0.0000 0.0000 0.0000
0.5000 0.5000 0.5000


Entry 6:
La6GaRu2 PBE relaxed; polymorph energy (0 for the lowest one) = 0.00 kcal/mol of atoms; crystal system = monoclinic; SG = C2/m, No. 12; energy of formation from the pure elements = -0.287 eV/atom; size of the total moment = 0.00 Bohr magnetons per cell; raw total energy = -5.97 eV/atom
1.0
-4.2383 1.7906 -2.6170
2.4980 -4.8915 -2.0393
-5.5805 -4.0187 6.2879
La Ru Ga
6 2 1
direct
0.6883 0.3767 0.6097
0.6207 0.2415 0.1624
0.3793 0.7585 0.8376
0.9347 0.8693 0.1574
0.3117 0.6233 0.3903
0.0653 0.1307 0.8426
0.7252 0.4504 0.8824
0.2748 0.5496 0.1176
0.0000 0.0000 0.5000